# TeMo2Pb

TeMo2Pb after structural relaxation (GGA-PBE, Alexandria via LeMat-Bulk).

Unit cell a=6.2607 b=6.2607 c=6.2607 alpha=148.64 beta=140.09 gamma=51.62
Closest atoms and distances in Å follow each position.
Atoms (fractional coordinates):
Te1 0.2170 0.7170 0.5000  6 Mo 2.73-2.84
Pb1 0.4676 0.4676 0.0000  6 Mo 2.81-2.94
Mo1 0.7887 0.2887 0.5000  4 Te 2.84, 2 Pb 2.94, 2 Mo 3.17
Mo2 0.0267 0.0267 0.0000  2 Te 2.73, 4 Pb 2.81

## Properties
As for the energy above the most stable polymorph in this dataset: 377 meV per atom. The total magnetic moment is 0.000 μB per formula unit.


# Te2MoPb

Te2MoPb after structural relaxation (GGA-PBE, Alexandria via LeMat-Bulk).

Unit cell a=5.2849 b=5.2849 c=5.2849 alpha=60.00 beta=60.00 gamma=60.00
Closest atoms and distances in Å follow each position.
Atoms (fractional coordinates):
Te1 0.2500 0.2500 0.2500  4 Mo 3.24, 4 Te 3.24
Te2 0.0000 0.0000 0.0000  4 Te 3.24, 4 Pb 3.24
Pb1 0.7500 0.7500 0.7500  4 Te 3.24, 4 Mo 3.24
Mo1 0.5000 0.5000 0.5000  4 Pb 3.24, 4 Te 3.24

## Properties
The total magnetic moment is 3.159 μB per formula unit.


# TeMo2Pb

TeMo2Pb after structural relaxation (GGA-PBE, Alexandria via LeMat-Bulk).

Unit cell a=3.2048 b=3.2048 c=8.8672 alpha=90.00 beta=90.00 gamma=116.18
Closest atoms and distances in Å follow each position.
Atoms (fractional coordinates):
Pb1 0.5000 0.5000 0.2500  4 Mo 2.89, 4 Pb 3.20
Mo1 0.0000 0.0000 0.9864  2 Te 2.70, 2 Pb 2.89
Mo2 0.0000 0.0000 0.5136  2 Te 2.70, 2 Pb 2.89
Te1 0.5000 0.5000 0.7500  4 Mo 2.70

## Properties
As for the energy above the most stable polymorph in this dataset: 666 meV per atom. The total magnetic moment is 0.002 μB per formula unit.


# TeMo2Pb

TeMo2Pb after structural relaxation (GGA-PBE, Alexandria via LeMat-Bulk).

Unit cell a=4.6614 b=4.6614 c=6.0302 alpha=76.74 beta=76.74 gamma=40.85
Closest atoms and distances in Å follow each position.
Atoms (fractional coordinates):
Pb1 0.2500 0.2500 0.2500  6 Mo 2.97-3.16, 2 Pb 3.25
Mo1 0.0013 0.0013 0.9469  3 Te 2.74, 2 Mo 2.88, 2 Pb 2.97
Mo2 0.4987 0.4987 0.5531  3 Te 2.74, 2 Mo 2.88, 2 Pb 2.97
Te1 0.7500 0.7500 0.7500  6 Mo 2.74

## Properties
As for the energy above the most stable polymorph in this dataset: 415 meV per atom. The total magnetic moment is 0.000 μB per formula unit.


# TeMo2Pb

TeMo2Pb after structural relaxation (GGA-PBE, Alexandria via LeMat-Bulk).

Unit cell a=3.3988 b=5.4350 c=4.4394 alpha=90.00 beta=90.00 gamma=90.00
Closest atoms and distances in Å follow each position.
Atoms (fractional coordinates):
Pb1 0.5000 0.0000 0.5000  4 Mo 2.80
Mo1 0.0000 0.0000 0.0000  4 Pb 2.80
Mo2 0.5000 0.5000 0.0000  4 Te 2.80
Te1 0.0000 0.5000 0.5000  4 Mo 2.80

## Properties
As for the energy above the most stable polymorph in this dataset: 682 meV per atom. The total magnetic moment is 0.001 μB per formula unit.


# Te2MoPb

Te2MoPb after structural relaxation (GGA-PBE, Alexandria via LeMat-Bulk).

Unit cell a=10.3409 b=10.3409 c=10.3409 alpha=19.28 beta=19.28 gamma=19.28
Closest atoms and distances in Å follow each position.
Atoms (fractional coordinates):
Te1 0.0094 0.0094 0.0094  3 Pb 3.29, 6 Te 3.46
Te2 0.2274 0.2274 0.2274  3 Mo 2.69
Mo1 0.5015 0.5015 0.5015  3 Te 2.69, 3 Pb 2.99
Pb1 0.7617 0.7617 0.7617  3 Mo 2.99, 3 Te 3.29

## Properties
The total magnetic moment is 0.000 μB per formula unit.


# TeMoPb4

TeMoPb4 after structural relaxation (GGA-PBE, Alexandria via LeMat-Bulk).

Unit cell a=6.3957 b=6.3957 c=6.3957 alpha=60.00 beta=60.00 gamma=60.00
Closest atoms and distances in Å follow each position.
Atoms (fractional coordinates):
Pb1 0.8776 0.3741 0.3741  6 Pb 3.18-3.22
Pb2 0.3741 0.8776 0.3741  6 Pb 3.18-3.22
Pb3 0.3741 0.3741 0.8776  6 Pb 3.18-3.22
Pb4 0.3741 0.3741 0.3741  6 Pb 3.18-3.22
Te1 0.7500 0.7500 0.7500  12 Pb 3.75, 4 Mo 3.92
Mo1 0.0000 0.0000 0.0000  12 Pb 3.75, 4 Te 3.92

## Properties
The total magnetic moment is 3.391 μB per formula unit.


# Te2MoPb

Te2MoPb after structural relaxation (GGA-PBE, Alexandria via LeMat-Bulk).

Unit cell a=10.4833 b=10.4833 c=10.4833 alpha=19.36 beta=19.36 gamma=19.36
Closest atoms and distances in Å follow each position.
Atoms (fractional coordinates):
Mo1 0.5000 0.5000 0.5000  6 Te 2.75
Te1 0.1066 0.1066 0.1066  3 Mo 2.75
Te2 0.8934 0.8934 0.8934  3 Mo 2.75
Pb1 0.0000 0.0000 0.0000  2 Te 3.29, 6 Pb 3.53

## Properties
The total magnetic moment is 0.000 μB per formula unit.


# Te2MoPb

Te2MoPb after structural relaxation (GGA-PBE, Alexandria via LeMat-Bulk).

Unit cell a=12.5971 b=12.5971 c=12.5971 alpha=14.49 beta=14.49 gamma=14.49
Closest atoms and distances in Å follow each position.
Atoms (fractional coordinates):
Te1 0.0723 0.0723 0.0723  1 Mo 2.70
Te2 0.9277 0.9277 0.9277  1 Mo 2.70
Mo1 0.0000 0.0000 0.0000  2 Te 2.70
Pb1 0.5000 0.5000 0.5000  6 Pb 3.18

## Properties
The total magnetic moment is 0.543 μB per formula unit.


# Te2MoPb

Te2MoPb after structural relaxation (GGA-PBE, Alexandria via LeMat-Bulk).

Unit cell a=6.9808 b=6.9808 c=6.5515 alpha=49.09 beta=49.09 gamma=28.67
Closest atoms and distances in Å follow each position.
Atoms (fractional coordinates):
Mo1 0.4731 0.4731 0.6785  4 Te 2.71-2.74, 3 Pb 2.94-2.99
Te1 0.0049 0.0049 0.9494  2 Mo 2.71
Te2 0.8290 0.8290 0.6412  2 Mo 2.74
Pb1 0.1930 0.1930 0.2309  3 Mo 2.94-2.99

## Properties
The total magnetic moment is 0.000 μB per formula unit.


# TeMo2Pb

TeMo2Pb after structural relaxation (GGA-PBE, Alexandria via LeMat-Bulk).

Unit cell a=4.8502 b=4.8502 c=4.8502 alpha=60.00 beta=60.00 gamma=60.00
Closest atoms and distances in Å follow each position.
Atoms (fractional coordinates):
Mo1 0.0000 0.0000 0.0000  4 Mo 2.97, 4 Te 2.97
Mo2 0.2500 0.2500 0.2500  4 Pb 2.97, 4 Mo 2.97
Pb1 0.5000 0.5000 0.5000  4 Te 2.97, 4 Mo 2.97
Te1 0.7500 0.7500 0.7500  4 Pb 2.97, 4 Mo 2.97

## Properties
As for the energy above the most stable polymorph in this dataset: 659 meV per atom. The total magnetic moment is 0.010 μB per formula unit.


# Te2MoPb

Te2MoPb after structural relaxation (GGA-PBE, Alexandria via LeMat-Bulk).

Unit cell a=3.3322 b=3.3161 c=9.6296 alpha=90.78 beta=90.00 gamma=90.00
Closest atoms and distances in Å follow each position.
Atoms (fractional coordinates):
Mo1 0.5000 0.2500 0.2500  8 Te 2.87
Te1 0.0000 0.7565 0.4216  4 Mo 2.87
Te2 0.0000 0.7435 0.0784  4 Mo 2.87
Pb1 0.5000 0.7500 0.7500  4 Pb 3.32-3.33, 4 Te 3.57

## Properties
The total magnetic moment is 0.000 μB per formula unit.


# TeMoPb3

TeMoPb3 after structural relaxation (GGA-PBE, Alexandria via LeMat-Bulk).

Unit cell a=5.4493 b=5.4493 c=5.4493 alpha=90.00 beta=90.00 gamma=90.00
Closest atoms and distances in Å follow each position.
Atoms (fractional coordinates):
Pb1 0.0000 0.0000 0.5000  2 Mo 2.72
Pb2 0.5000 0.0000 0.0000  2 Mo 2.72
Pb3 0.0000 0.5000 0.0000  2 Mo 2.72
Te1 0.5000 0.5000 0.5000  12 Pb 3.85
Mo1 0.0000 0.0000 0.0000  6 Pb 2.72

## Properties
As for the energy above the most stable polymorph in this dataset: 0 meV per atom. The total magnetic moment is 1.911 μB per formula unit.


no.,formation energy from raw total energies (eV/atom)
1,0.59
2,0.82
3,0.88
4,0.63
5,0.90
6,0.21
7,0.77
8,-0.03
9,0.66
10,0.13
11,0.88
12,0.04
13,0.43